An optimized crystal structure of PmPrNdSn. Source: the Alexandria database, functional PBE.

## Properties
- DFT formation energy (eV/atom) = -0.412

CIF file:
```
data_PmPrNdSn
_cell_length_a 4.882
_cell_length_b 4.882
_cell_length_c 10.279
_cell_angle_alpha 90.00
_cell_angle_beta 90.00
_cell_angle_gamma 90.00
_symmetry_space_group_name_H-M 'P 1'
_symmetry_Int_Tables_number 1
loop_
_symmetry_equiv_pos_as_xyz
'x,y,z'
loop_
_atom_site_label
_atom_site_type_symbol
_atom_site_fract_x
_atom_site_fract_y
_atom_site_fract_z
Pm1 Pm 0.000 0.000 0.500
Pm2 Pm 0.500 0.500 0.500
Pr1 Pr 0.500 0.500 0.000
Pr2 Pr 0.000 0.000 0.000
Nd1 Nd 0.000 0.500 0.748
Nd2 Nd 0.500 0.000 0.252
Sn1 Sn 0.500 0.000 0.747
Sn2 Sn 0.000 0.500 0.253
```